Record 1
## RbTlHg4 (PBE)

Data for an optimized crystal structure of RbTlHg4.

Cell and atoms, written as CIF:
```
data_RbTlHg4
_chemical_formula_sum 'Rb1 Tl1 Hg4'
_cell_length_a 3.616
_cell_length_b 5.329
_cell_length_c 9.847
_cell_angle_alpha 90.00
_cell_angle_beta 90.00
_cell_angle_gamma 90.00
_symmetry_space_group_name_H-M 'P 1'
_symmetry_Int_Tables_number 1
_symmetry_space_group_name_Hall 'P 1'
loop_
_atom_site_label
_atom_site_fract_x
_atom_site_fract_y
_atom_site_fract_z
_atom_site_occupancy
Rb1 0.999 0.497 0.998 1
Tl1 0.999 0.997 0.498 1
Hg1 0.499 0.997 0.181 1
Hg2 0.498 0.997 0.815 1
Hg3 0.499 0.497 0.654 1
Hg4 0.498 0.497 0.342 1
```

Results
- Electronic total energy: -5.3 eV per cell
- Energy above the lowest structure with this stoichiometry: 0.000 eV/atom
- Space group: Pmmm (47)
- E_form: -0.123 eV per atom

Record 2
## LaScCu2 (PBE)

Data for an optimized crystal structure of LaScCu2.

Cell and atoms, written as CIF:
```
data_LaScCu2
_chemical_formula_sum 'La1 Sc1 Cu2'
_cell_length_a 7.772
_cell_length_b 4.940
_cell_length_c 3.405
_cell_angle_alpha 90.05
_cell_angle_beta 63.94
_cell_angle_gamma 129.43
_symmetry_space_group_name_H-M 'P 1'
_symmetry_Int_Tables_number 1
_symmetry_space_group_name_Hall 'P 1'
loop_
_atom_site_label
_atom_site_fract_x
_atom_site_fract_y
_atom_site_fract_z
_atom_site_occupancy
Cu1 0.000 0.000 0.000 1
Cu2 0.500 0.000 0.500 1
La1 0.000 0.500 0.500 1
Sc1 0.500 0.500 0.000 1
```

Results
- Electronic total energy: -20.0 eV per cell
- Energy above the lowest structure with this stoichiometry: 0.062 eV/atom
- Space group: Cmmm (65)
- E_form: -0.129 eV per atom

Record 3
## Rb3In9Pb2 (PBE)

Data for an optimized crystal structure of Rb3In9Pb2.

Cell and atoms, written as CIF:
```
data_Rb3In9Pb2
_chemical_formula_sum 'Rb3 In9 Pb2'
_cell_length_a 5.218
_cell_length_b 9.910
_cell_length_c 9.910
_cell_angle_alpha 71.46
_cell_angle_beta 74.74
_cell_angle_gamma 74.74
_symmetry_space_group_name_H-M 'P 1'
_symmetry_Int_Tables_number 1
_symmetry_space_group_name_Hall 'P 1'
loop_
_atom_site_label
_atom_site_fract_x
_atom_site_fract_y
_atom_site_fract_z
_atom_site_occupancy
Rb1 0.000 0.000 0.000 1
Rb2 0.697 0.303 0.303 1
Rb3 0.303 0.697 0.697 1
In1 0.000 0.500 0.500 1
In2 0.661 0.970 0.708 1
In3 0.339 0.030 0.292 1
In4 0.661 0.708 0.970 1
In5 0.339 0.292 0.030 1
In6 0.851 0.875 0.423 1
In7 0.149 0.125 0.577 1
In8 0.851 0.423 0.875 1
In9 0.149 0.577 0.125 1
Pb1 0.500 0.306 0.694 1
Pb2 0.500 0.694 0.306 1
```

Results
- Electronic total energy: -36.1 eV per cell
- Space group: Immm (71)
- E_form: -0.083 eV per atom

Record 4
## ScMn2Si (PBE)

Data for an optimized crystal structure of ScMn2Si.

Cell and atoms, written as CIF:
```
data_ScMn2Si
_chemical_formula_sum 'Sc1 Mn2 Si1'
_cell_length_a 4.017
_cell_length_b 4.017
_cell_length_c 3.389
_cell_angle_alpha 90.00
_cell_angle_beta 90.00
_cell_angle_gamma 90.00
_symmetry_space_group_name_H-M 'P 1'
_symmetry_Int_Tables_number 1
_symmetry_space_group_name_Hall 'P 1'
loop_
_atom_site_label
_atom_site_fract_x
_atom_site_fract_y
_atom_site_fract_z
_atom_site_occupancy
Mn1 0.000 0.000 0.000 1
Mn2 0.500 0.500 0.000 1
Sc1 0.500 0.000 0.500 1
Si1 0.000 0.500 0.500 1
```

Results
- Electronic total energy: -30.9 eV per cell
- Space group: P4/mmm (123)
- Energy relative to the elements, uncorrected: -206 meV/atom

Record 5
## AlP2SN (PBE)

Data for an optimized crystal structure of AlP2SN.

Cell and atoms, written as CIF:
```
data_AlP2SN
_chemical_formula_sum 'Al1 P2 S1 N1'
_cell_length_a 4.011
_cell_length_b 4.011
_cell_length_c 4.268
_cell_angle_alpha 90.00
_cell_angle_beta 90.00
_cell_angle_gamma 90.00
_symmetry_space_group_name_H-M 'P 1'
_symmetry_Int_Tables_number 1
_symmetry_space_group_name_Hall 'P 1'
loop_
_atom_site_label
_atom_site_fract_x
_atom_site_fract_y
_atom_site_fract_z
_atom_site_occupancy
P1 0.000 0.500 0.000 1
P2 0.500 0.000 0.000 1
S1 0.000 0.000 0.500 1
Al1 0.500 0.500 0.500 1
N1 0.000 0.000 0.000 1
```

Results
- Electronic total energy: -22.8 eV per cell
- Energy above the lowest structure with this stoichiometry: 0.000 eV/atom
- Space group: P4/mmm (123)
- Energy relative to the elements, uncorrected: 836 meV/atom

Record 6
## Mn2MoP (PBE)

Data for an optimized crystal structure of Mn2MoP.

Cell and atoms, written as CIF:
```
data_Mn2MoP
_chemical_formula_sum 'Mn2 Mo1 P1'
_cell_length_a 2.759
_cell_length_b 2.759
_cell_length_c 6.278
_cell_angle_alpha 90.00
_cell_angle_beta 90.00
_cell_angle_gamma 90.00
_symmetry_space_group_name_H-M 'P 1'
_symmetry_Int_Tables_number 1
_symmetry_space_group_name_Hall 'P 1'
loop_
_atom_site_label
_atom_site_fract_x
_atom_site_fract_y
_atom_site_fract_z
_atom_site_occupancy
Mn1 0.000 0.000 0.956 1
Mn2 0.000 0.000 0.544 1
Mo1 0.500 0.500 0.250 1
P1 0.500 0.500 0.750 1
```

Results
- Electronic total energy: -35.1 eV per cell
- Space group: P4/mmm (123)
- E_form: -0.142 eV per atom